Material: LiSbPt2
Method: DFT, GGA-PBEsol
State: relaxed

Output
* uncorrected energy: -5.6244 eV/atom
* M_tot: 0.0 μB per cell
* formation energy from raw total energies: -0.512 eV per atom
* calculated volume: 15.57 Å³/atom

```
LiSbPt2
1.0
4.0086 0.0000 0.0000
0.0000 4.0086 0.0000
-2.0043 -2.0043 3.8766
Sb Li Pt
1 1 2
Cartesian
0.0000 0.0000 0.0000
2.0043 2.0043 0.0000
2.0043 0.0000 1.9383
0.0000 2.0043 1.9383
```